(a)
The following is a DFT calculation (PBE) of an optimized crystal structure of Sc2MnFe.

Unit cell a=2.895 b=2.895 c=7.964 alpha=90.00 beta=90.00 gamma=90.00
Space group P4mm (No. 99)
One atom of each set of equivalent atoms:
Sc1 0.000 0.000 0.000
Sc2 0.500 0.500 0.367
Mn1 0.500 0.500 0.761
Fe1 0.000 0.000 0.605

(b)
The following is a DFT calculation (PBE) of an optimized crystal structure of Sc2MnFe.

Unit cell a=4.474 b=4.474 c=3.237 alpha=90.00 beta=90.00 gamma=90.00
Space group P4/mmm (No. 123)
One atom of each set of equivalent atoms:
Sc1 0.000 0.500 0.000
Mn1 0.000 0.000 0.500
Fe1 0.500 0.500 0.500

(c)
The following is a DFT calculation (PBE) of an optimized crystal structure of Sc2MnFe.

Unit cell a=3.878 b=3.878 c=9.072 alpha=90.00 beta=90.00 gamma=90.00
Space group I-4m2 (No. 119)
One atom of each set of equivalent atoms:
Sc1 0.000 0.000 0.000
Sc2 0.000 0.500 0.250
Mn1 0.000 0.000 0.500
Fe1 0.000 0.500 0.750

(d)
The following is a DFT calculation (PBE) of an optimized crystal structure of Sc2MnFe.

Unit cell a=6.427 b=6.427 c=6.427 alpha=90.00 beta=90.00 gamma=90.00
Space group Fm-3m (No. 225)
One atom of each set of equivalent atoms:
Sc1 0.250 0.250 0.250
Mn1 0.000 0.000 0.000
Fe1 0.000 0.000 0.500

Of them, (d) has the highest stability.

(a)
The following is a DFT calculation (PBE) of an optimized crystal structure of Sc2MnFe.

Unit cell a=7.059 b=7.059 c=5.645 alpha=90.00 beta=90.00 gamma=90.00
Space group I-42d (No. 122)
One atom of each set of equivalent atoms:
Sc1 0.228 0.250 0.125
Mn1 0.000 0.000 0.500
Fe1 0.000 0.000 0.000

(b)
The following is a DFT calculation (PBE) of an optimized crystal structure of Sc2MnFe.

Unit cell a=2.9765 b=2.9765 c=26.8878 alpha=90.00 beta=90.00 gamma=120.00
Space group R-3m (No. 166, hexagonal axes)
One atom of each set of equivalent atoms:
Sc1 0.0000 0.0000 0.0831
Mn1 0.0000 0.0000 0.5000
Fe1 0.0000 0.0000 0.0000

Of them, (a) has the highest stability.

(a)
The following is a DFT calculation (PBE) of an optimized crystal structure of Sc2MnFe.

Unit cell a=6.407 b=6.407 c=6.407 alpha=90.00 beta=90.00 gamma=90.00
Space group F-43m (No. 216)
One atom of each set of equivalent atoms:
Sc1 0.000 0.000 0.000
Sc2 0.250 0.250 0.250
Mn1 0.000 0.000 0.500
Fe1 0.250 0.250 0.750

(b)
The following is a DFT calculation (PBE) of an optimized crystal structure of Sc2MnFe.

Unit cell a=3.112 b=4.438 c=9.544 alpha=90.00 beta=90.00 gamma=90.00
Space group Imm2 (No. 44)
One atom of each set of equivalent atoms:
Sc1 0.000 0.000 0.000
Sc2 0.000 0.500 0.216
Mn1 0.000 0.500 0.783
Fe1 0.000 0.000 0.465

(c)
The following is a DFT calculation (PBE) of an optimized crystal structure of Sc2MnFe.

Unit cell a=3.0778 b=3.0778 c=26.2266 alpha=90.00 beta=90.00 gamma=120.00
Space group R3m (No. 160, hexagonal axes)
One atom of each set of equivalent atoms:
Sc1 0.0000 0.0000 0.0000
Sc2 0.0000 0.0000 0.2215
Mn1 0.0000 0.0000 0.7476
Fe1 0.0000 0.0000 0.4801

Of them, (b) has the highest stability.

(a)
The following is a DFT calculation (PBE) of an optimized crystal structure of ScMnFe.

Unit cell a=4.784 b=4.960 c=7.051 alpha=90.00 beta=90.00 gamma=90.00
Space group Imma (No. 74)
One atom of each set of equivalent atoms:
Sc1 0.000 0.250 0.124
Mn1 0.250 0.250 0.750
Fe1 0.000 0.000 0.500

(b)
The following is a DFT calculation (PBE) of an optimized crystal structure of ScMnFe.

Unit cell a=5.802 b=5.802 c=5.802 alpha=90.00 beta=90.00 gamma=90.00
Space group F-43m (No. 216)
One atom of each set of equivalent atoms:
Sc1 0.000 0.000 0.000
Mn1 0.000 0.000 0.500
Fe1 0.250 0.250 0.750

Of them, (a) has the highest stability.

(a)
The following is a DFT calculation (PBE) of an optimized crystal structure of ScMn2Fe2.

Unit cell a=6.995 b=6.995 c=2.532 alpha=90.00 beta=90.00 gamma=90.00
Space group P4/mbm (No. 127)
One atom of each set of equivalent atoms:
Sc1 0.000 0.000 0.000
Mn1 0.119 0.381 0.000
Fe1 0.169 0.669 0.500

(b)
The following is a DFT calculation (PBE) of an optimized crystal structure of ScMn2Fe2.

Unit cell a=3.803 b=3.803 c=9.325 alpha=90.00 beta=90.00 gamma=90.00
Space group I4/mmm (No. 139)
One atom of each set of equivalent atoms:
Sc1 0.000 0.000 0.000
Mn1 0.000 0.500 0.250
Fe1 0.000 0.000 0.384

(c)
The following is a DFT calculation (PBE) of an optimized crystal structure of ScMn2Fe2.

Unit cell a=6.955 b=6.955 c=2.553 alpha=90.00 beta=90.00 gamma=90.00
Space group P4/mbm (No. 127)
One atom of each set of equivalent atoms:
Sc1 0.000 0.000 0.000
Mn1 0.167 0.333 0.500
Fe1 0.125 0.625 0.000

Of them, (b) has the highest stability.

(a)
The following is a DFT calculation (PBE) of an optimized crystal structure of MnFeSe2.

Unit cell a=5.286 b=5.286 c=10.532 alpha=90.00 beta=90.00 gamma=90.00
Space group I-42d (No. 122)
One atom of each set of equivalent atoms:
Mn1 0.000 0.000 0.000
Fe1 0.000 0.000 0.500
Se1 0.248 0.250 0.625

(b)
The following is a DFT calculation (PBE) of an optimized crystal structure of MnFeSe2.

Unit cell a=7.162 b=7.001 c=3.913 alpha=90.00 beta=118.40 gamma=90.00
Space group C2/m (No. 12)
One atom of each set of equivalent atoms:
Mn1 0.000 0.000 0.000
Fe1 0.000 0.500 0.000
Se1 0.250 0.250 0.000

(c)
The following is a DFT calculation (PBE) of an optimized crystal structure of MnFeSe2.

Unit cell a=3.516 b=3.592 c=13.189 alpha=90.00 beta=90.00 gamma=90.00
Space group Immm (No. 71)
One atom of each set of equivalent atoms:
Mn1 0.000 0.000 0.000
Fe1 0.000 0.000 0.500
Se1 0.000 0.500 0.126

(d)
The following is a DFT calculation (PBE) of an optimized crystal structure of MnFeSe2.

Unit cell a=6.456 b=3.738 c=6.460 alpha=90.00 beta=109.40 gamma=90.00
Space group C2/m (No. 12)
One atom of each set of equivalent atoms:
Mn1 0.000 0.000 0.000
Fe1 0.000 0.500 0.500
Se1 0.247 0.000 0.743

Of them, (c) has the highest stability.

(a)
The following is a DFT calculation (PBE) of an optimized crystal structure of MnFeSe2.

Unit cell a=6.371 b=6.371 c=6.371 alpha=90.00 beta=90.00 gamma=90.00
Space group Fm-3m (No. 225)
One atom of each set of equivalent atoms:
Mn1 0.000 0.000 0.000
Fe1 0.000 0.000 0.500
Se1 0.250 0.250 0.250

(b)
The following is a DFT calculation (PBE) of an optimized crystal structure of MnFeSe2.

Unit cell a=6.396 b=6.396 c=6.396 alpha=90.00 beta=90.00 gamma=90.00
Space group F-43m (No. 216)
One atom of each set of equivalent atoms:
Mn1 0.000 0.000 0.000
Fe1 0.250 0.250 0.750
Se1 0.000 0.000 0.500
Se2 0.250 0.250 0.250

(c)
The following is a DFT calculation (PBE) of an optimized crystal structure of MnFeSe2.

Unit cell a=4.028 b=4.573 c=4.119 alpha=90.00 beta=105.13 gamma=90.00
Space group Pm (No. 6)
One atom of each set of equivalent atoms:
Mn1 0.000 0.000 0.000
Fe1 0.762 0.500 0.232
Se1 0.145 0.500 0.845
Se2 0.618 0.000 0.385

(d)
The following is a DFT calculation (PBE) of an optimized crystal structure of MnFeSe2.

Unit cell a=3.237 b=3.237 c=6.832 alpha=90.00 beta=90.00 gamma=90.00
Space group P4mm (No. 99)
One atom of each set of equivalent atoms:
Mn1 0.000 0.000 0.000
Fe1 0.500 0.500 0.788
Se1 0.000 0.000 0.632
Se2 0.500 0.500 0.153

Of them, (d) has the highest stability.

(a)
The following is a DFT calculation (PBE) of an optimized crystal structure of MnFeSe2.

Unit cell a=3.548 b=3.548 c=14.345 alpha=90.00 beta=90.00 gamma=90.00
Space group I-4m2 (No. 119)
One atom of each set of equivalent atoms:
Mn1 0.000 0.000 0.000
Fe1 0.000 0.500 0.250
Se1 0.000 0.000 0.500
Se2 0.000 0.500 0.750

(b)
The following is a DFT calculation (PBE) of an optimized crystal structure of MnFeSe2.

Unit cell a=7.645 b=3.249 c=6.408 alpha=90.00 beta=102.42 gamma=90.00
Space group Cm (No. 8)
One atom of each set of equivalent atoms:
Mn1 0.000 0.000 0.000
Fe1 0.245 0.500 0.173
Se1 0.258 0.000 0.836
Se2 0.488 0.000 0.330

(c)
The following is a DFT calculation (PBE) of an optimized crystal structure of MnFeSe2.

Unit cell a=3.1452 b=3.1452 c=22.9252 alpha=90.00 beta=90.00 gamma=120.00
Space group R-3m (No. 166, hexagonal axes)
One atom of each set of equivalent atoms:
Mn1 0.0000 0.0000 0.0000
Fe1 0.0000 0.0000 0.5000
Se1 0.0000 0.0000 0.0983

Of them, (b) has the highest stability.

(a)
The following is a DFT calculation (PBE) of an optimized crystal structure of MnFeSe2.

Unit cell a=4.387 b=4.387 c=3.104 alpha=90.00 beta=90.00 gamma=90.00
Space group P4/mmm (No. 123)
One atom of each set of equivalent atoms:
Mn1 0.000 0.000 0.000
Fe1 0.500 0.500 0.000
Se1 0.000 0.500 0.500

(b)
The following is a DFT calculation (PBE) of an optimized crystal structure of MnFeSe2.

Unit cell a=3.561 b=3.577 c=6.078 alpha=90.00 beta=90.21 gamma=90.00
Space group Pm (No. 6)
One atom of each set of equivalent atoms:
Mn1 0.000 0.000 0.000
Fe1 0.500 0.500 0.999
Se1 0.002 0.500 0.262
Se2 0.498 0.000 0.737

(c)
The following is a DFT calculation (PBE) of an optimized crystal structure of MnFeSe2.

Unit cell a=5.129 b=3.239 c=6.014 alpha=90.00 beta=90.70 gamma=90.00
Space group P2/m (No. 10)
One atom of each set of equivalent atoms:
Mn1 0.000 0.000 0.000
Fe1 0.500 0.000 0.000
Se1 0.260 0.500 0.777

Of them, (b) has the highest stability.